This record from Alexandria via LeMat-Bulk describes NdEr2Tl after structural relaxation. The functional is PBE.

a = 5.499 Å, b = 5.499 Å, c = 5.500 Å
α = 60.00°, β = 60.00°, γ = 60.00°
Fractional positions:
Nd: 0.500 0.500 0.500
Er: 0.000 0.000 0.000
Er: 0.250 0.250 0.250
Tl: 0.750 0.750 0.750

Output
N(E_F) in states/eV per cell: 5.5
Crystal system: cubic
Space group: F-43m, No. 216
ΔH_f (0 K) in eV/atom: -0.04

=====

This record from Alexandria via LeMat-Bulk describes BiTe2Rh after structural relaxation. The functional is PBE.

a = 9.402 Å, b = 9.402 Å, c = 9.402 Å
α = 23.87°, β = 23.87°, γ = 23.87°
Fractional positions:
Te: 0.885 0.885 0.885
Te: 0.115 0.115 0.115
Rh: 0.500 0.500 0.500
Bi: 0.000 0.000 0.000

Output
N(E_F) in states/eV per cell: 2.0
Formation energy without anion corrections in kJ/mol of formula units: -77
Crystal system: trigonal
Space group: R-3m, No. 166

=====

This record from Alexandria via LeMat-Bulk describes ZnRe2Cl after structural relaxation. The functional is PBE.

a = 2.934 Å, b = 2.934 Å, c = 8.074 Å
α = 90.00°, β = 90.00°, γ = 90.00°
Fractional positions:
Cl: 0.500 0.500 0.803
Re: 0.000 0.000 0.028
Re: 0.500 0.500 0.227
Zn: 0.000 0.000 0.442

Output
N(E_F) in states/eV per cell: 2.8
Formation energy without anion corrections in kJ/mol of formula units: 76
Crystal system: tetragonal
Space group: P4mm, No. 99

=====

This record from Alexandria via LeMat-Bulk describes Pm7PrSc4 after structural relaxation. The functional is PBE.

a = 7.120 Å, b = 6.159 Å, c = 11.278 Å
α = 79.48°, β = 50.77°, γ = 89.99°
Fractional positions:
Pm: 0.733 0.501 0.009
Pm: 0.267 0.499 0.991
Pm: 0.084 0.288 0.659
Pm: 0.916 0.712 0.341
Pm: 0.336 0.774 0.663
Pm: 0.500 0.000 0.000
Pm: 0.664 0.226 0.337
Pr: 0.000 0.000 0.000
Sc: 0.402 0.728 0.338
Sc: 0.598 0.272 0.662
Sc: 0.842 0.787 0.659
Sc: 0.158 0.213 0.341

Output
N(E_F) in states/eV per cell: 16.5
Crystal system: triclinic
Space group: P-1, No. 2
ΔH_f (0 K) in eV/atom: 0.04

=====

This record from Alexandria via LeMat-Bulk describes Hf10Al3Si3 after structural relaxation. The functional is PBE.

a = 7.991 Å, b = 7.991 Å, c = 5.597 Å
α = 90.00°, β = 90.00°, γ = 120.00°
Fractional positions:
Hf: 0.333 0.667 0.753
Hf: 0.667 0.333 0.753
Hf: 0.667 0.333 0.247
Hf: 0.333 0.667 0.247
Hf: 0.756 0.000 0.500
Hf: 0.000 0.756 0.500
Hf: 0.244 0.244 0.500
Hf: 0.245 0.000 0.000
Hf: 0.000 0.245 0.000
Hf: 0.755 0.755 0.000
Al: 0.394 0.000 0.500
Al: 0.000 0.394 0.500
Al: 0.606 0.606 0.500
Si: 0.610 0.000 0.000
Si: 0.000 0.610 0.000
Si: 0.390 0.390 0.000

Output
N(E_F) in states/eV per cell: 9.4
Formation energy without anion corrections in kJ/mol of formula units: -801
Crystal system: hexagonal
Space group: P-62m, No. 189

=====

This record from Alexandria via LeMat-Bulk describes Mg2ZnI after structural relaxation. The functional is PBE.

a = 5.336 Å, b = 5.336 Å, c = 5.336 Å
α = 60.00°, β = 60.00°, γ = 60.00°
Fractional positions:
I: 0.500 0.500 0.500
Zn: 0.000 0.000 0.000
Mg: 0.250 0.250 0.250
Mg: 0.750 0.750 0.750

Output
N(E_F) in states/eV per cell: 6.7
Formation energy without anion corrections in kJ/mol of formula units: 68
Crystal system: cubic
Space group: Fm-3m, No. 225

=====

This record from Alexandria via LeMat-Bulk describes Pa2MnSn after structural relaxation. The functional is PBE.

a = 3.143 Å, b = 3.143 Å, c = 8.644 Å
α = 90.00°, β = 90.00°, γ = 90.00°
Fractional positions:
Pa: 0.000 0.000 0.794
Pa: 0.000 0.000 0.206
Sn: 0.500 0.500 0.500
Mn: 0.500 0.500 0.000

Output
N(E_F) in states/eV per cell: 3.3
Crystal system: tetragonal
Space group: P4/mmm, No. 123
ΔH_f (0 K) in eV/atom: -0.18

=====

This record from Alexandria via LeMat-Bulk describes NdDyTm2In4 after structural relaxation. The functional is PBE.

a = 5.327 Å, b = 5.327 Å, c = 9.253 Å
α = 73.27°, β = 73.27°, γ = 60.00°
Fractional positions:
Nd: 0.000 0.000 0.000
Dy: 0.500 0.500 0.500
Tm: 0.750 0.750 0.749
Tm: 0.250 0.250 0.251
In: 0.376 0.376 0.871
In: 0.874 0.874 0.379
In: 0.126 0.126 0.621
In: 0.624 0.624 0.129

Output
N(E_F) in states/eV per cell: 3.9
Crystal system: trigonal
Space group: R-3m, No. 166
ΔH_f (0 K) in eV/atom: -0.45